Computed, not measured: crystalline SrYBe3 at its relaxed geometry at the GGA-PBE level of DFT.

The formation energy is 1.188 eV/atom. The total energy is -2.677 eV per atom. The calculation puts the total magnetization at 0.00 μB/f.u.

Cell and atoms, written as CIF:
```
data_SrYBe3
_chemical_formula_sum 'Sr1 Y1 Be3'
_cell_length_a 5.137
_cell_length_b 5.137
_cell_length_c 5.137
_cell_angle_alpha 90.00
_cell_angle_beta 90.00
_cell_angle_gamma 90.00
_space_group_name_H-M_alt 'P m -3 m'
_space_group_IT_number 221
_space_group_name_Hall '-P 4 2 3'
loop_
_atom_site_label
_atom_site_type_symbol
_atom_site_fract_x
_atom_site_fract_y
_atom_site_fract_z
_atom_site_occupancy
Sr1 Sr 0.000 0.000 0.000 1
Y1 Y 0.500 0.500 0.500 1
Be1 Be 0.000 0.500 0.500 1
```